La2Tb2PmDy: optimized geometry, PBE.

```
12
Lattice="7.0975 0.0000 0.0000 0.0000 5.7503 0.0000 0.0000 0.0000 9.9813" Properties=species:S:1:pos:R:3 pbc="T T T"
La 0.0000 0.0000 0.0000
La 1.7744 2.8751 1.7009
La 3.5488 0.0000 0.0000
La 5.3231 2.8751 8.2804
Tb 1.7744 0.0000 3.3337
Tb 1.7744 2.8751 8.3154
Tb 5.3231 0.0000 6.6476
Tb 5.3231 2.8751 1.6658
Pm 0.0000 2.8751 4.9906
Pm 3.5488 2.8751 4.9906
Dy 1.7744 0.0000 6.6169
Dy 5.3231 0.0000 3.3644
```

Calculated values
V   407.4 Å³ per cell
Electronic total energy   -56.15 eV for the cell shown
SG   Pmma (51)
Total magnetic moment   0.00 μB per cell